Density functional theory data (PBE-GGA) for a relaxed structure of CaV.

## Properties
**Total moment**: 0.0 μB per formula unit
**Polymorph energy (0 for the lowest one)**: 352 meV/atom
**Energy of formation from the pure elements**: 0.86 eV per atom
**Symmetry**: P6_3/m

The structure in CIF format:
```
data_CaV
_symmetry_space_group_name_H-M 'P 1'
_symmetry_Int_Tables_number 1
_symmetry_space_group_name_Hall 'P 1'
_cell_length_a 11.318
_cell_length_b 11.318
_cell_length_c 3.120
_cell_angle_alpha 90.00
_cell_angle_beta 90.00
_cell_angle_gamma 120.00
loop_
_atom_site_label
_atom_site_type_symbol
_atom_site_fract_x
_atom_site_fract_y
_atom_site_fract_z
_atom_site_occupancy
Ca1 Ca 0.959 0.306 0.250 1
Ca2 Ca 0.653 0.959 0.750 1
Ca3 Ca 0.694 0.653 0.250 1
Ca4 Ca 0.041 0.694 0.750 1
Ca5 Ca 0.347 0.041 0.250 1
Ca6 Ca 0.306 0.347 0.750 1
V1 V 0.783 0.441 0.250 1
V2 V 0.342 0.783 0.750 1
V3 V 0.559 0.342 0.250 1
V4 V 0.217 0.559 0.750 1
V5 V 0.658 0.217 0.250 1
V6 V 0.441 0.658 0.750 1
```